# 1
NaCo2Tc2 | PBE | relaxed

Total magnetic moment (μB per atom): 0.0000
Relative energy among the computed polymorphs (meV/atom): 0
ΔH_f (0 K) (eV/f.u.): 1.7

a = 7.509 Å, b = 7.509 Å, c = 2.546 Å
α = 90.00°, β = 90.00°, γ = 90.00°
Atoms (fractional coordinates):
Na  0.000  0.000  0.000
Na  0.500  0.500  0.000
Co  0.166  0.334  0.500
Co  0.334  0.834  0.500
Co  0.666  0.166  0.500
Co  0.834  0.666  0.500
Tc  0.123  0.623  0.000
Tc  0.377  0.123  0.000
Tc  0.623  0.877  0.000
Tc  0.877  0.377  0.000

# 2
NpTaNb | PBE | relaxed

Total magnetic moment (μB per atom): 1.0939
Relative energy among the computed polymorphs (meV/atom): 0
ΔH_f (0 K) (eV/f.u.): 1.2

a = 5.667 Å, b = 5.667 Å, c = 5.667 Å
α = 145.45°, β = 145.45°, γ = 49.67°
Atoms (fractional coordinates):
Np  0.000  0.000  0.000
Ta  0.672  0.672  0.000
Nb  0.335  0.335  0.000

# 3
RbCd3O | PBE | relaxed

Total magnetic moment (μB per atom): 0.0000
Relative energy among the computed polymorphs (meV/atom): 849

a = 7.181 Å, b = 7.181 Å, c = 7.181 Å
α = 90.00°, β = 90.00°, γ = 90.00°
Atoms (fractional coordinates):
Rb  0.000  0.000  0.000
Cd  0.000  0.000  0.500
Cd  0.000  0.500  0.000
Cd  0.500  0.000  0.000
O  0.500  0.500  0.500

# 4
La5Pm4Ho4 | PBE | relaxed

Total magnetic moment (μB per atom): 0.0000
ΔH_f (0 K) (eV/f.u.): 0.3

a = 9.676 Å, b = 9.676 Å, c = 9.676 Å
α = 94.06°, β = 94.06°, γ = 149.14°
Atoms (fractional coordinates):
La  0.000  0.000  0.000
La  0.308  0.460  0.767
La  0.460  0.692  0.152
La  0.540  0.308  0.848
La  0.692  0.540  0.233
Pm  0.077  0.615  0.692
Pm  0.385  0.077  0.461
Pm  0.615  0.923  0.539
Pm  0.923  0.385  0.308
Ho  0.155  0.234  0.389
Ho  0.234  0.845  0.078
Ho  0.766  0.155  0.922
Ho  0.845  0.766  0.611

Repeat the third record exactly.
RbCd3O | PBE | relaxed

Total magnetic moment (μB per atom): 0.0000
Relative energy among the computed polymorphs (meV/atom): 849

a = 7.181 Å, b = 7.181 Å, c = 7.181 Å
α = 90.00°, β = 90.00°, γ = 90.00°
Atoms (fractional coordinates):
Rb  0.000  0.000  0.000
Cd  0.000  0.000  0.500
Cd  0.000  0.500  0.000
Cd  0.500  0.000  0.000
O  0.500  0.500  0.500

What did the first record say?
NaCo2Tc2 | PBE | relaxed

Total magnetic moment (μB per atom): 0.0000
Relative energy among the computed polymorphs (meV/atom): 0
ΔH_f (0 K) (eV/f.u.): 1.7

a = 7.509 Å, b = 7.509 Å, c = 2.546 Å
α = 90.00°, β = 90.00°, γ = 90.00°
Atoms (fractional coordinates):
Na  0.000  0.000  0.000
Na  0.500  0.500  0.000
Co  0.166  0.334  0.500
Co  0.334  0.834  0.500
Co  0.666  0.166  0.500
Co  0.834  0.666  0.500
Tc  0.123  0.623  0.000
Tc  0.377  0.123  0.000
Tc  0.623  0.877  0.000
Tc  0.877  0.377  0.000

Q: total magnetic moment of number 4 (La5Pm4Ho4)?
A: 0.0000 μB per atom